# 1
This record from Alexandria describes an optimized crystal structure of ScRuCl2. The functional is PBE.

abc: 3.3679 3.3679 26.9394
angles: 90.00 90.00 120.00
Closest atoms and distances in Å follow each position.
Space group R3m (No. 160, hexagonal axes)
One atom of each set of equivalent atoms:
Sc: 0.0000 0.0000 0.0000 (multiplicity 3)  3 Cl 2.59, 3 Ru 2.77
Ru: 0.0000 0.0000 0.7400 (multiplicity 3)  3 Cl 2.53, 3 Sc 2.77
Cl: 0.0000 0.0000 0.2701 (multiplicity 3)  3 Sc 2.59
Cl: 0.0000 0.0000 0.4670 (multiplicity 3)  3 Ru 2.53

Values from the calculation:
raw formation energy = -0.706 eV/atom
relative energy among the computed polymorphs = 0.090 eV per atom

***

# 2
This record from Alexandria describes an optimized crystal structure of ScRuCl2. The functional is PBE.

abc: 3.1012 3.1012 8.6027
angles: 90.00 90.00 90.00
Closest atoms and distances in Å follow each position.
Space group P4mm (No. 99)
One atom of each set of equivalent atoms:
Sc: 0.0000 0.0000 0.0000 (multiplicity 1)  4 Cl 2.73, 4 Ru 2.87
Ru: 0.5000 0.5000 0.7849 (multiplicity 1)  4 Cl 2.67, 4 Sc 2.87
Cl: 0.0000 0.0000 0.6081 (multiplicity 1)  4 Ru 2.67
Cl: 0.5000 0.5000 0.1899 (multiplicity 1)  4 Sc 2.73

Values from the calculation:
raw formation energy = -0.597 eV/atom
relative energy among the computed polymorphs = 0.199 eV per atom

***

# 3
This record from Alexandria describes an optimized crystal structure of ScRu2Cl. The functional is PBE.

abc: 3.0614 5.0612 8.4703
angles: 90.00 90.00 90.00
Closest atoms and distances in Å follow each position.
Space group Cmmm (No. 65)
One atom of each set of equivalent atoms:
Sc: 0.0000 0.0000 0.0000 (multiplicity 2)  4 Ru 2.63
Ru: 0.0000 0.5000 0.2521 (multiplicity 4)  2 Cl 2.60, 2 Sc 2.63
Cl: 0.0000 0.0000 0.5000 (multiplicity 2)  4 Ru 2.60

Values from the calculation:
raw formation energy = 0.294 eV/atom
relative energy among the computed polymorphs = 0.522 eV per atom

***

# 4
This record from Alexandria describes an optimized crystal structure of ScRu2Cl. The functional is PBE.

abc: 3.0111 3.5357 7.4470
angles: 90.00 90.00 90.00
Closest atoms and distances in Å follow each position.
Space group Pmm2 (No. 25)
One atom of each set of equivalent atoms:
Sc: 0.0000 0.0000 0.0000 (multiplicity 1)  5 Ru 2.72-2.93, 4 Cl 2.76, 2 Sc 3.01
Ru: 0.0000 0.0000 0.6348 (multiplicity 1)  4 Ru 2.50, 1 Sc 2.72
Ru: 0.5000 0.5000 0.7601 (multiplicity 1)  4 Ru 2.50
Cl: 0.5000 0.5000 0.2012 (multiplicity 1)  4 Sc 2.76, 2 Cl 3.01

Values from the calculation:
raw formation energy = -0.222 eV/atom
relative energy among the computed polymorphs = 0.006 eV per atom

***

# 5
This record from Alexandria describes an optimized crystal structure of Sc3RuCl3. The functional is PBE.

abc: 6.2173 6.2173 29.9137
angles: 90.00 90.00 120.00
Closest atoms and distances in Å follow each position.
Space group R-3 (No. 148, hexagonal axes)
One atom of each set of equivalent atoms:
Sc: 0.0000 0.3274 0.4493 (multiplicity 18)  2 Ru 2.58, 3 Cl 2.64-2.67
Ru: 0.0000 0.0000 0.1667 (multiplicity 6)  6 Sc 2.58
Cl: 0.0000 0.3345 0.6058 (multiplicity 18)  3 Sc 2.64-2.67

Values from the calculation:
raw formation energy = -1.284 eV/atom

***

# 6
This record from Alexandria describes an optimized crystal structure of ScRu4Cl. The functional is PBE.

abc: 7.4057 7.4057 7.4057
angles: 90.00 90.00 90.00
Closest atoms and distances in Å follow each position.
Space group F-43m (No. 216)
One atom of each set of equivalent atoms:
Sc: 0.0000 0.0000 0.0000 (multiplicity 4)  12 Ru 3.07, 4 Cl 3.21
Ru: 0.1250 0.1250 0.3750 (multiplicity 16)  6 Ru 2.62
Cl: 0.2500 0.2500 0.7500 (multiplicity 4)  12 Ru 3.07, 4 Sc 3.21

Values from the calculation:
raw formation energy = 0.523 eV/atom

***

It is found that the V values, taken in the order of the records, are 22.053 20.684 16.405 19.821 23.842 16.923 Å³/atom.
It is found that the total magnetic moment values, taken in the order of the records, are 1.34 0.91 0.00 0.00 0.00 4.17 μB/f.u..